Entry 1:
{
  "formula": "LiPmGe",
  "functional": "PBE",
  "state": "relaxed",
  "spacegroup": "No. 166",
  "cell": [[-0.5955, -3.1332, -3.9185], [1.5622, -4.7929, 0.3378], [-5.4410, -4.3619, 1.0574]],
  "species": ["Ge", "Li", "Pm", "Ge", "Pm", "Li"],
  "fractional_positions": [[0.4317, 0.4317, 0.7050], [0.7016, 0.7016, 0.8952], [0.1164, 0.1164, 0.6507], [0.5683, 0.5683, 0.2950], [0.8836, 0.8836, 0.3493], [0.2984, 0.2984, 0.1048]]
}

***

Entry 2:
{
  "formula": "LiPm3Ge5",
  "functional": "PBE",
  "state": "relaxed",
  "spacegroup": "No. 193",
  "cell": [[-2.3466, 5.4253, -0.1776], [-7.0332, -3.1839, -4.3325], [-0.0084, 0.2860, 8.8482]],
  "species": ["Pm", "Ge", "Ge", "Ge", "Ge", "Li", "Pm", "Ge", "Pm", "Ge", "Li", "Ge", "Pm", "Ge", "Pm", "Pm", "Ge", "Ge"],
  "fractional_positions": [[0.2500, 0.3729, 0.3729], [0.5000, 0.6667, 0.3333], [0.7500, 0.2802, 0.2802], [0.2500, 0.2802, 0.0000], [0.7500, 0.0000, 0.7198], [0.0000, 0.0000, 0.0000], [0.7500, 0.3729, 0.0000], [0.0000, 0.6667, 0.3333], [0.7500, 0.6271, 0.6271], [0.0000, 0.3333, 0.6667], [0.5000, 0.0000, 0.0000], [0.7500, 0.7198, 0.0000], [0.2500, 0.6271, 0.0000], [0.2500, 0.0000, 0.2802], [0.7500, 0.0000, 0.3729], [0.2500, 0.0000, 0.6271], [0.5000, 0.3333, 0.6667], [0.2500, 0.7198, 0.7198]]
}

***

Entry 3:
{
  "formula": "Li2Pm3Ge4",
  "functional": "PBE",
  "state": "relaxed",
  "spacegroup": "No. 12",
  "cell": [[4.3167, 0.0000, 0.0000], [-2.1584, 5.4962, -0.0595], [0.0000, -2.2984, 8.1452]],
  "species": ["Li", "Ge", "Pm", "Ge", "Pm", "Pm", "Ge", "Li", "Ge"],
  "fractional_positions": [[0.3390, 0.6779, 0.6675], [0.9305, 0.8609, 0.6043], [0.3580, 0.7160, 0.3178], [0.2902, 0.5805, 0.9400], [0.0000, 0.0000, 0.0000], [0.6420, 0.2840, 0.6822], [0.0695, 0.1391, 0.3957], [0.6610, 0.3221, 0.3325], [0.7098, 0.4195, 0.0600]]
}

***

Entry 4:
{
  "formula": "Li2Pm2Ge",
  "functional": "PBE",
  "state": "relaxed",
  "spacegroup": "No. 139",
  "cell": [[-2.9795, 1.7053, 0.9778], [-1.1620, -0.0956, -3.3737], [-2.2469, -9.3402, 2.9269]],
  "species": ["Li", "Pm", "Li", "Ge", "Pm"],
  "fractional_positions": [[0.2500, 0.7500, 0.5000], [0.5948, 0.5948, 0.1896], [0.7500, 0.2500, 0.5000], [0.0000, 0.0000, 0.0000], [0.4052, 0.4052, 0.8104]]
}

***

Entry 5:
{
  "formula": "LiPm4Ge5",
  "functional": "PBE",
  "state": "relaxed",
  "spacegroup": "No. 79",
  "cell": [[6.0073, 0.0000, 0.0000], [3.0036, 6.6430, 0.0000], [3.0036, 0.0000, 6.6430]],
  "species": ["Pm", "Pm", "Ge", "Ge", "Pm", "Li", "Ge", "Ge", "Ge", "Pm"],
  "fractional_positions": [[0.4025, 0.3998, 0.7961], [0.5985, 0.6002, 0.2039], [0.2944, 0.8094, 0.6029], [0.5032, 0.0000, 0.0000], [0.8023, 0.7961, 0.6002], [0.0027, 0.0000, 0.0000], [0.1038, 0.6029, 0.1906], [0.7068, 0.1906, 0.3971], [0.8973, 0.3971, 0.8094], [0.1987, 0.2039, 0.3998]]
}

***

Entry 6:
{
  "formula": "Li2Pm5Ge4",
  "functional": "PBE",
  "state": "relaxed",
  "spacegroup": "No. 12",
  "cell": [[-0.3688, -3.6539, 2.1349], [-2.9354, -3.0558, -5.7369], [10.2840, 0.7326, -1.1958]],
  "species": ["Pm", "Ge", "Pm", "Li", "Li", "Pm", "Ge", "Pm", "Pm", "Ge", "Ge"],
  "fractional_positions": [[0.5000, 0.0000, 0.0000], [0.0000, 0.6871, 0.9999], [0.1621, 0.9204, 0.3243], [0.5652, 0.5647, 0.1305], [0.4348, 0.4353, 0.8695], [0.1621, 0.4023, 0.3241], [0.0000, 0.3129, 0.0001], [0.8379, 0.5977, 0.6759], [0.8379, 0.0796, 0.6757], [0.7066, 0.7060, 0.4131], [0.2934, 0.2940, 0.5869]]
}

***

| no. | electronic total energy (hartree per atom) | formation enthalpy at 0 K (eV/atom) | calculated volume (Å³ per atom) |
| --- | --- | --- | --- |
| 1 | -0.1509 | -0.346 | 23.661 |
| 2 | -0.1789 | -0.507 | 22.299 |
| 3 | -0.1753 | -0.710 | 21.406 |
| 4 | -0.1377 | -0.157 | 24.770 |
| 5 | -0.1773 | -0.423 | 26.509 |
| 6 | -0.1728 | -0.515 | 26.182 |